# Tc2B2Mo, optimized geometry, DFT GGA-PBE
data_Tc2B2Mo
_space_group_name_H-M_alt 'I 4/m m m'
_space_group_IT_number 139
_space_group_name_Hall '-I 4 2'
_cell_length_a 3.938
_cell_length_b 3.938
_cell_length_c 7.949
_cell_angle_alpha 90.00
_cell_angle_beta 90.00
_cell_angle_gamma 90.00
loop_
_atom_site_label
_atom_site_type_symbol
_atom_site_fract_x
_atom_site_fract_y
_atom_site_fract_z
_atom_site_occupancy
Tc1 Tc 0.000 0.000 0.151 1
B1 B 0.000 0.500 0.250 1
Mo1 Mo 0.000 0.000 0.500 1
# ΔE_f	0.3605	eV per atom
# volume	12.3	Å³ per atom